(1)
This record from Alexandria via LeMat-Bulk describes a relaxed CePr8Tm2 crystal. The functional is PBE.

Values from the calculation:
* magnetization: 1.023 μB per formula unit

a b c (Å): 5.7425 8.2932 16.1076
angles (deg): 90.00 90.00 90.00
Last column: nearest neighbours and their distance in Å.
Space group Immm (No. 71)
Unique sites:
Ce: 0.0000 0.0000 0.0000 x2  4 Pr 3.27
Pr: 0.0000 0.2112 0.5000 x4  7 Pr 3.50-3.61, 2 Tm 3.66, 2 Ce 3.74
Pr: 0.0000 0.2924 0.1358 x8  1 Ce 3.27, 3 Pr 3.44-3.61, 3 Tm 3.50-3.59
Pr: 0.0000 0.5000 0.3365 x4  8 Pr 3.56-3.78, 2 Tm 3.62, 2 Ce 3.90
Tm: 0.0000 0.0000 0.3003 x4  10 Pr 3.50-3.66


(2)
This record from Alexandria via LeMat-Bulk describes a relaxed HoThIrRh crystal. The functional is PBE.

Values from the calculation:
* magnetization: 0.000 μB per formula unit
* distance to the lowest polymorph of the same formula: 0.0000 eV/atom

a b c (Å): 4.3449 3.8067 10.6963
angles (deg): 90.00 90.00 90.00
Last column: nearest neighbours and their distance in Å.
Space group Amm2 (No. 38)
Unique sites:
Ho: 0.0000 0.0000 0.0000 x2  3 Rh 2.90-3.10, 4 Ir 2.93
Th: 0.5000 0.0000 0.2770 x2  3 Ir 2.88-3.11, 4 Rh 2.93
Ir: 0.5000 0.0000 0.5466 x2  3 Th 2.88-3.11, 2 Rh 2.92, 4 Ho 2.93
Rh: 0.0000 0.0000 0.7290 x2  3 Ho 2.90-3.10, 2 Ir 2.92, 4 Th 2.93


In eV/atom, the E values for the records above are, in order, -4.713 -7.978.
In eV per atom, the DFT formation energy values for the records above are, in order, 0.1159 -0.9252.